# PBE-GGA SrCaZnSi, relaxed
# Magnetic moment   0.000 μB/f.u.
# Formation energy from raw total energies   -0.30 eV per atom
# E_tot   -2.89 eV per atom
data_SrCaZnSi
_chemical_formula_sum 'Sr4 Ca4 Zn4 Si4'
_cell_length_a 7.477
_cell_length_b 7.477
_cell_length_c 7.477
_cell_angle_alpha 90.00
_cell_angle_beta 90.00
_cell_angle_gamma 90.00
_space_group_name_H-M_alt 'F -4 3 m'
_space_group_IT_number 216
_space_group_name_Hall 'F -4 2 3'
loop_
_atom_site_label
_atom_site_fract_x
_atom_site_fract_y
_atom_site_fract_z
_atom_site_occupancy
Sr1 0.000 0.000 0.000 1
Ca1 0.000 0.000 0.500 1
Zn1 0.250 0.250 0.250 1
Si1 0.250 0.250 0.750 1

=====

# PBE-GGA LaYNF2, relaxed
# Magnetic moment   0.678 μB/f.u.
# Distance to the lowest polymorph of the same formula   0.420 eV/atom
# Formation energy from raw total energies   -1.83 eV per atom
# E_tot   -6.53 eV per atom
data_LaYNF2
_chemical_formula_sum 'La1 Y1 N1 F2'
_cell_length_a 4.539
_cell_length_b 4.539
_cell_length_c 5.006
_cell_angle_alpha 90.00
_cell_angle_beta 90.00
_cell_angle_gamma 90.00
_space_group_name_H-M_alt 'P 4/m m m'
_space_group_IT_number 123
_space_group_name_Hall '-P 4 2'
loop_
_atom_site_label
_atom_site_fract_x
_atom_site_fract_y
_atom_site_fract_z
_atom_site_occupancy
La1 0.000 0.000 0.000 1
Y1 0.500 0.500 0.500 1
N1 0.000 0.000 0.500 1
F1 0.000 0.500 0.000 1

=====

Q: Which formula does entry 2 have?
A: LaYNF2

=====

Q: Among the records above, which one has the highest E_tot?
A: SrCaZnSi

=====

Q: E_tot of number 2 (LaYNF2)?
A: -6.53 eV per atom